LaCr2CdO after structural relaxation, computed with PBE with a Hubbard U.

## Properties
uncorrected energy = -2.533 eV per atom
theoretical density = 3.27 g cm⁻³

Cell: 5.4082 5.4082 6.4410 Å, 90.00 90.00 90.00°
Closest atoms and distances in Å follow each position.
Space group P4/mmm (No. 123)
Asymmetric unit:
1 La 0.0000 0.0000 0.0000 x1  4 Cr 2.70
2 Cr 0.0000 0.5000 0.0000 x2  2 La 2.70
3 Cd 0.0000 0.0000 0.5000 x1  2 La 3.22
4 O 0.5000 0.5000 0.5000 x1  4 Cd 3.82, 8 Cr 4.21